First-principles (PBE-GGA) data for a relaxed Tb6Hg5 crystal, as listed in Alexandria.

Computed properties:
The calculation puts the energy relative to the elements at -378 meV per atom. The value obtained for the calculated total energy is -66.889 eV per cell. The value obtained for the density of states at the Fermi level is 1.236 states/eV per atom.

Unit cell a=5.2168 b=7.4816 c=15.5674 alpha=90.00 beta=90.00 gamma=90.00
Space group Immm (No. 71)
Unique sites:
Tb: 0.0000 0.2438 0.0000 x4
Tb: 0.0000 0.2554 0.3371 x8
Hg: 0.0000 0.0000 0.1649 x4
Hg: 0.0000 0.0000 0.5000 x2
Hg: 0.0000 0.5000 0.1681 x4